# 1
Material: CaHf2Mg
Method: DFT, GGA-PBE
State: relaxed

Cell: 8.4048 8.4048 5.9061 Å, 90.00 90.00 90.00°
Closest atoms and distances in Å follow each position.
Space group I-42d (No. 122)
Inequivalent atoms, fractional coordinates:
Ca 0.0000 0.0000 0.0000 (multiplicity 4)  2 Mg 2.95, 4 Hf 3.22
Hf 0.2238 0.2500 0.6250 (multiplicity 8)  2 Mg 2.92, 2 Hf 2.99, 2 Ca 3.22
Mg 0.0000 0.0000 0.5000 (multiplicity 4)  4 Hf 2.92, 2 Ca 2.95

Output
ΔE_f: 0.799 eV per atom
energy relative to the lowest polymorph listed for this composition: 245.4 meV/atom


# 2
Material: CaHfMg2
Method: DFT, GGA-PBE
State: relaxed

Cell: 3.3589 3.3589 9.0348 Å, 90.00 90.00 90.00°
Closest atoms and distances in Å follow each position.
Space group P4/mmm (No. 123)
Inequivalent atoms, fractional coordinates:
Ca 0.0000 0.0000 0.0000 (multiplicity 1)  4 Ca 3.36, 8 Mg 3.46
Hf 0.0000 0.0000 0.5000 (multiplicity 1)  8 Mg 3.11, 4 Hf 3.36
Mg 0.5000 0.5000 0.2786 (multiplicity 2)  4 Hf 3.11, 4 Mg 3.36, 4 Ca 3.46

Output
ΔE_f: 0.110 eV per atom


# 3
Material: Ca2HfMg
Method: DFT, GGA-PBE
State: relaxed

Cell: 3.3348 3.3348 36.5783 Å, 90.00 90.00 120.00°
Closest atoms and distances in Å follow each position.
Space group R-3m (No. 166, hexagonal axes)
Inequivalent atoms, fractional coordinates:
Ca 0.0000 0.0000 0.0883 (multiplicity 6)  1 Hf 3.23, 6 Ca 3.33, 3 Mg 3.45
Hf 0.0000 0.0000 0.0000 (multiplicity 3)  2 Ca 3.23, 6 Hf 3.33
Mg 0.0000 0.0000 0.5000 (multiplicity 3)  6 Mg 3.33, 6 Ca 3.45

Output
ΔE_f: 0.479 eV per atom
energy relative to the lowest polymorph listed for this composition: 37.3 meV/atom


# 4
Material: CaHfMg4
Method: DFT, GGA-PBE
State: relaxed

Cell: 8.3774 8.3774 8.3774 Å, 90.00 90.00 90.00°
Closest atoms and distances in Å follow each position.
Space group F-43m (No. 216)
Inequivalent atoms, fractional coordinates:
Ca 0.0000 0.0000 0.0000 (multiplicity 4)  12 Mg 3.48, 4 Hf 3.63
Hf 0.2500 0.2500 0.7500 (multiplicity 4)  12 Mg 3.47, 4 Ca 3.63
Mg 0.1236 0.1236 0.3764 (multiplicity 16)  6 Mg 2.93-3.00

Output
ΔE_f: 0.168 eV per atom


# 5
Material: Ca2HfMg
Method: DFT, GGA-PBE
State: relaxed

Cell: 8.6269 8.6269 6.5056 Å, 90.00 90.00 90.00°
Closest atoms and distances in Å follow each position.
Space group I-42d (No. 122)
Inequivalent atoms, fractional coordinates:
Ca 0.2327 0.2500 0.1250 (multiplicity 8)  2 Mg 3.06, 2 Hf 3.26, 2 Ca 3.27
Hf 0.0000 0.0000 0.5000 (multiplicity 4)  2 Mg 3.25, 4 Ca 3.26
Mg 0.0000 0.0000 0.0000 (multiplicity 4)  4 Ca 3.06, 2 Hf 3.25

Output
ΔE_f: 0.700 eV per atom
energy relative to the lowest polymorph listed for this composition: 257.7 meV/atom


# 6
Material: CaHfMg2
Method: DFT, GGA-PBE
State: relaxed

Cell: 8.3080 8.3080 6.3626 Å, 90.00 90.00 90.00°
Closest atoms and distances in Å follow each position.
Space group I-42d (No. 122)
Inequivalent atoms, fractional coordinates:
Ca 0.0000 0.0000 0.0000 (multiplicity 4)  4 Mg 3.12, 2 Hf 3.18
Hf 0.0000 0.0000 0.5000 (multiplicity 4)  4 Mg 2.97, 2 Ca 3.18
Mg 0.2371 0.7500 0.6250 (multiplicity 8)  2 Hf 2.97, 2 Ca 3.12, 2 Mg 3.19

Output
ΔE_f: 0.639 eV per atom


# 7
Material: Ca2HfMg
Method: DFT, GGA-PBE
State: relaxed

Cell: 7.7892 7.7892 7.7892 Å, 90.00 90.00 90.00°
Closest atoms and distances in Å follow each position.
Space group Fm-3m (No. 225)
Inequivalent atoms, fractional coordinates:
Ca 0.2500 0.2500 0.2500 (multiplicity 8)  4 Hf 3.37, 4 Mg 3.37
Hf 0.0000 0.0000 0.0000 (multiplicity 4)  8 Ca 3.37
Mg 0.0000 0.0000 0.5000 (multiplicity 4)  8 Ca 3.37

Output
ΔE_f: 0.442 eV per atom
energy relative to the lowest polymorph listed for this composition: 0.0 meV/atom


# 8
Material: CaHfMgSe2
Method: DFT, GGA-PBE
State: relaxed

Cell: 5.2439 5.2439 5.2762 Å, 90.00 90.00 90.00°
Closest atoms and distances in Å follow each position.
Space group P4/mmm (No. 123)
Inequivalent atoms, fractional coordinates:
Ca 0.0000 0.0000 0.0000 (multiplicity 1)  4 Se 2.62, 2 Mg 2.64
Hf 0.5000 0.5000 0.5000 (multiplicity 1)  4 Mg 3.71, 8 Se 3.72
Mg 0.0000 0.0000 0.5000 (multiplicity 1)  2 Ca 2.64
Se 0.0000 0.5000 0.0000 (multiplicity 2)  2 Ca 2.62

Output
energy relative to the elements, uncorrected: 0.448 eV/atom


# 9
Material: CaHf2MgSn
Method: DFT, GGA-PBE
State: relaxed

Cell: 5.1674 5.1674 5.2522 Å, 90.00 90.00 90.00°
Closest atoms and distances in Å follow each position.
Space group P4/mmm (No. 123)
Inequivalent atoms, fractional coordinates:
Ca 0.0000 0.0000 0.0000 (multiplicity 1)  4 Sn 3.65, 8 Hf 3.68
Hf 0.0000 0.5000 0.5000 (multiplicity 2)  2 Mg 2.58
Mg 0.5000 0.5000 0.5000 (multiplicity 1)  4 Hf 2.58, 2 Sn 2.63
Sn 0.5000 0.5000 0.0000 (multiplicity 1)  2 Mg 2.63

Output
ΔE_f: 0.876 eV per atom


# 10
Material: CaHf2MgTc
Method: DFT, GGA-PBE
State: relaxed

Cell: 5.1518 5.1518 4.6629 Å, 90.00 90.00 90.00°
Closest atoms and distances in Å follow each position.
Space group P4/mmm (No. 123)
Inequivalent atoms, fractional coordinates:
Ca 0.0000 0.0000 0.0000 (multiplicity 1)  8 Hf 3.47, 4 Tc 3.64
Hf 0.0000 0.5000 0.5000 (multiplicity 2)  2 Mg 2.58
Mg 0.5000 0.5000 0.5000 (multiplicity 1)  2 Tc 2.33, 4 Hf 2.58
Tc 0.5000 0.5000 0.0000 (multiplicity 1)  2 Mg 2.33

Output
ΔE_f: 1.267 eV per atom


# 11
Material: CaHfMg2Zn
Method: DFT, GGA-PBE
State: relaxed

Cell: 5.5667 5.5667 5.4172 Å, 90.00 90.00 90.00°
Closest atoms and distances in Å follow each position.
Space group P4/mmm (No. 123)
Inequivalent atoms, fractional coordinates:
Ca 0.0000 0.0000 0.0000 (multiplicity 1)  2 Hf 2.71, 4 Mg 2.78
Hf 0.0000 0.0000 0.5000 (multiplicity 1)  2 Ca 2.71
Mg 0.0000 0.5000 0.0000 (multiplicity 2)  2 Ca 2.78
Zn 0.5000 0.5000 0.5000 (multiplicity 1)  8 Mg 3.88, 4 Hf 3.94

Output
ΔE_f: 1.471 eV per atom


# 12
Material: CaHf2Mn
Method: DFT, GGA-PBE
State: relaxed

Cell: 7.1556 7.1556 10.2647 Å, 90.00 90.00 90.00°
Closest atoms and distances in Å follow each position.
Space group I4_1/amd (No. 141, origin choice 2)
Inequivalent atoms, fractional coordinates:
Ca 0.0000 0.2500 0.3750 (multiplicity 4)  12 Hf 4.20-4.24, 4 Ca 4.40, 4 Mn 4.40
Hf 0.0000 0.0000 0.0000 (multiplicity 8)  2 Mn 2.20
Mn 0.0000 0.2500 0.8750 (multiplicity 4)  4 Hf 2.20

Output
ΔE_f: 1.117 eV per atom
energy relative to the lowest polymorph listed for this composition: 584.1 meV/atom